Material: Pu6MnRu5
Method: DFT, GGA-PBE
State: optimized geometry

```
Pu6MnRu5
1.0
4.589 -0.022 1.521
0.029 6.618 0.010
-0.008 -0.011 7.632
Ru Pu Mn
5 6 1
direct
0.663 0.000 0.676 Ru
0.669 0.500 0.664 Ru
0.337 0.000 0.324 Ru
0.331 0.500 0.336 Ru
0.000 0.500 0.000 Ru
0.832 0.249 0.335 Pu
0.500 0.253 0.000 Pu
0.832 0.751 0.335 Pu
0.168 0.751 0.665 Pu
0.168 0.249 0.665 Pu
0.500 0.747 0.000 Pu
0.000 0.000 0.000 Mn
```

Output
Density of states at the Fermi level   31.5 states/eV/f.u.
ΔH_f (0 K)   -10 kJ/mol of atoms
Theoretical density   14.5 Mg/m³